DFT (GGA+U) results for a relaxed structure of Na2V6O15.

Geometry as CIF:
```
data_Na2V6O15
_chemical_formula_sum 'Na4 V12 O30'
_cell_length_a 15.807
_cell_length_b 3.667
_cell_length_c 10.556
_cell_angle_alpha 90.00
_cell_angle_beta 100.48
_cell_angle_gamma 90.00
_space_group_name_H-M_alt 'C 1 m 1'
_space_group_IT_number 8
_space_group_name_Hall 'C -2y'
loop_
_atom_site_label
_atom_site_type_symbol
_atom_site_fract_x
_atom_site_fract_y
_atom_site_fract_z
Na1 Na 0.000 0.000 0.000
Na2 Na 0.062 0.000 0.701
V1 V 0.157 0.500 0.473
V2 V 0.207 0.000 0.250
V3 V 0.240 0.000 0.940
V4 V 0.316 0.500 0.755
V5 V 0.359 0.500 0.441
V6 V 0.444 0.000 0.260
O1 O 0.042 0.500 0.357
O2 O 0.110 0.000 0.169
O3 O 0.126 0.500 0.615
O4 O 0.134 0.000 0.909
O5 O 0.170 0.000 0.430
O6 O 0.228 0.500 0.303
O7 O 0.267 0.000 0.118
O8 O 0.275 0.500 0.926
O9 O 0.276 0.000 0.770
O10 O 0.287 0.500 0.559
O11 O 0.349 0.000 0.384
O12 O 0.410 0.500 0.276
O13 O 0.423 0.500 0.793
O14 O 0.451 0.500 0.539
O15 O 0.455 0.000 0.106
```

Output
Theoretical density (Mg/m³): 3.3
Calculated total energy (eV/atom): -7.18